Material: GaCoHg2O
Method: DFT, PBE+U
State: relaxed Values from VASP.

Values from the calculation:
Magnetic moment (Bohr magnetons per cell): 2.5
Total energy (eV/atom): -2.383
Crystal system: tetragonal

Structure (Quantum ESPRESSO input):
```
&SYSTEM
  ibrav = 0, nat = 5, ntyp = 4
/
ATOMIC_SPECIES
Ga 69.72 Ga.upf
Co 58.93 Co.upf
Hg 200.59 Hg.upf
O 16.00 O.upf
ATOMIC_POSITIONS crystal
Ga 0.0000 0.0000 0.0000
Co 0.5000 0.5000 0.0000
Hg 0.0000 0.5000 0.5000
Hg 0.5000 0.0000 0.5000
O 0.0000 0.0000 0.5000
CELL_PARAMETERS angstrom
5.5578 0.0000 0.0000
0.0000 5.5578 0.0000
0.0000 0.0000 3.5715
```